(1)
YAlIn2, optimized geometry, DFT PBE; symmetry = Imm2 (44); energy of formation = -0.294 eV per atom; magnetic moment = 0.00 μB per formula unit; E_tot = -16.86 eV for the cell shown
1.0
5.7702 -0.0575 0.0472
4.1108 4.0496 0.0472
1.6750 0.6767 4.0461
Y In Al
1 2 1
direct
0.5002 0.5002 0.4999 Y
0.7500 0.7500 0.7498 In
0.9996 0.9996 0.0006 In
0.2502 0.2502 0.2497 Al

***

(2)
Te2WBr, optimized geometry, DFT PBE; symmetry = C2/m (12); offset from the most stable computed form = 913.1 meV/atom; magnetic moment = 0.00 μB per formula unit; energy relative to the elements, uncorrected = 0.984 eV/atom; E_tot = -16.97 eV for the cell shown
1.0
6.4012 -0.0067 -0.0153
-2.7289 4.4338 -0.0029
0.9434 1.4175 3.2376
Te W Br
2 1 1
direct
0.0000 0.0000 0.0000 Te
0.5000 0.0000 0.5000 Te
0.0000 0.5000 0.5000 W
0.5000 0.5000 0.0000 Br

***

(3)
AsIr2Cl, optimized geometry, DFT PBE; symmetry = Immm (71); offset from the most stable computed form = 332.9 meV/atom; magnetic moment = 0.00 μB per formula unit; energy relative to the elements, uncorrected = 0.585 eV/atom; E_tot = -21.88 eV for the cell shown
1.0
-3.0664 -1.0954 4.0928
1.9391 -4.3443 2.1728
0.6631 5.0766 -1.0688
Ir As Cl
2 1 1
direct
0.9790 0.9790 0.0000 Ir
0.5210 0.5210 0.0000 Ir
0.7500 0.2500 0.5000 As
0.2500 0.7500 0.5000 Cl

***

(4)
Ac3PrY6, optimized geometry, DFT PBE; symmetry = R3 (146); energy of formation = 0.403 eV per atom; magnetic moment = 0.15 μB per formula unit; E_tot = -51.86 eV for the cell shown
1.0
8.9657 0.0000 4.7578
3.2204 8.3673 4.7578
2.1798 1.4967 6.7187
Ac Y Pr
3 6 1
direct
0.0916 0.0916 0.7251 Ac
0.3504 0.3504 0.9489 Ac
0.6090 0.6090 0.1730 Ac
0.5973 0.2523 0.2240 Y
0.9264 0.5973 0.2240 Y
0.4472 0.7732 0.6773 Y
0.2523 0.9264 0.2240 Y
0.7732 0.1024 0.6773 Y
0.1024 0.4472 0.6773 Y
0.8502 0.8502 0.4493 Pr